Below is a relaxed NaScTeSe2 crystal, with properties calculated at the PBE level.

Cell: 5.211 5.211 5.649 Å, 90.00 90.00 90.00°
Fractional coordinates of all 5 atoms:
1 Na 0.000 0.000 0.000
2 Sc 0.500 0.500 0.500
3 Te 0.500 0.500 0.000
4 Se 0.000 0.500 0.500
5 Se 0.500 0.000 0.500

Summary:
SG   P4/mmm, No. 123
Raw formation energy   -0.770 eV per atom
N(E_F)   1.383 states/eV/atom
Total moment   0.0 Bohr magnetons per cell